DFT (PBE) results for a relaxed Pr2SiGe2 crystal.

The value obtained for the total magnetic moment is 0.000 μB/f.u. Its crystal system is monoclinic. For the formation energy without anion corrections, the calculation gives -0.69 eV per atom. The value obtained for the theoretical density is 6.4 Mg/m³.

The structure belongs to space group C2/m (No. 12); the cell edges are 11.202, 4.283 and 10.980 Å and the angles 90.00°, 115.72° and 90.00°. Symmetry generates all atoms from Pr at (0.099, 0.000, 0.402), Pr at (0.203, 0.500, 0.143), Si at (0.057, 0.500, 0.800), Ge at (0.045, 0.000, 0.911) and Ge at (0.131, 0.500, 0.619).